Entry 1:
Density functional theory data (PBE) for crystalline Na2MgTeSe4 at its relaxed geometry.

Results
M_tot ... 0.00 Bohr magnetons per cell
ΔE_f (raw) ... -0.757 eV per atom
Final energy ... -109.5 eV for the cell shown

Structure (CIF):
```
data_Na2MgTeSe4
_space_group_name_H-M_alt 'I m m a'
_space_group_IT_number 74
_space_group_name_Hall '-I 2b 2'
_cell_length_a 8.1967
_cell_length_b 8.2592
_cell_length_c 11.6273
_cell_angle_alpha 90.00
_cell_angle_beta 90.00
_cell_angle_gamma 90.00
loop_
_atom_site_label
_atom_site_fract_x
_atom_site_fract_y
_atom_site_fract_z
_atom_site_occupancy
Na1 0.0000 0.0000 0.0000 1
Na2 0.2500 0.2500 0.2500 1
Mg1 0.0000 0.0000 0.5000 1
Te1 0.2500 0.2500 0.7500 1
Se1 0.0000 0.0126 0.7415 1
Se2 0.2297 0.2500 0.5074 1
```

***

Entry 2:
Density functional theory data (PBE) for crystalline Na2ThMgSe4 at its relaxed geometry.

Results
M_tot ... 0.00 Bohr magnetons per cell
ΔE_f (raw) ... -1.429 eV per atom
Final energy ... -37.0 eV for the cell shown

Structure (CIF):
```
data_Na2ThMgSe4
_space_group_name_H-M_alt 'P 1 2/m 1'
_space_group_IT_number 10
_cell_length_a 7.0574
_cell_length_b 4.2119
_cell_length_c 7.4192
_cell_angle_alpha 90.00
_cell_angle_beta 109.05
_cell_angle_gamma 90.00
loop_
_space_group_symop_operation_xyz
'x,y,z'
'-x,-y,-z'
'-x,y,-z'
'x,-y,z'
loop_
_atom_site_label
_atom_site_fract_x
_atom_site_fract_y
_atom_site_fract_z
_atom_site_occupancy
Na1 0.0000 0.0000 0.0000 1
Na2 0.5000 0.5000 0.0000 1
Th1 0.0000 0.5000 0.5000 1
Mg1 0.5000 0.0000 0.5000 1
Se1 0.2493 0.0000 0.7345 1
Se2 0.2692 0.5000 0.2791 1
```

***

Entry 3:
Density functional theory data (PBE) for crystalline Na4Th3MgSe8 at its relaxed geometry.

Results
M_tot ... 0.05 Bohr magnetons per cell
ΔE_f (raw) ... -1.441 eV per atom
Final energy ... -240.2 eV for the cell shown

Structure (CIF):
```
data_Na4Th3MgSe8
_space_group_name_H-M_alt 'R -3 m'
_space_group_IT_number 166
_space_group_name_Hall '-R 3 2"'
_cell_length_a 8.3208
_cell_length_b 8.3208
_cell_length_c 21.3072
_cell_angle_alpha 90.00
_cell_angle_beta 90.00
_cell_angle_gamma 120.00
loop_
_atom_site_label
_atom_site_fract_x
_atom_site_fract_y
_atom_site_fract_z
_atom_site_occupancy
Na1 0.0000 0.0000 0.0000 1
Na2 0.0000 0.5000 0.0000 1
Th1 0.0000 0.5000 0.5000 1
Mg1 0.0000 0.0000 0.5000 1
Se1 0.0000 0.0000 0.2492 1
Se2 0.0117 0.5059 0.2440 1
```

***

Entry 4:
Density functional theory data (PBE) for crystalline Na3Mg2TiSe6 at its relaxed geometry.

Results
M_tot ... 0.00 Bohr magnetons per cell
ΔE_f (raw) ... -1.087 eV per atom
Final energy ... -98.0 eV for the cell shown

Structure (CIF):
```
data_Na3Mg2TiSe6
_space_group_name_H-M_alt 'C 1 2/m 1'
_space_group_IT_number 12
_cell_length_a 6.6735
_cell_length_b 11.5760
_cell_length_c 7.3925
_cell_angle_alpha 90.00
_cell_angle_beta 107.61
_cell_angle_gamma 90.00
loop_
_space_group_symop_operation_xyz
'x,y,z'
'-x,-y,-z'
'-x,y,-z'
'x,-y,z'
'x+1/2,y+1/2,z'
'-x+1/2,-y+1/2,-z'
'-x+1/2,y+1/2,-z'
'x+1/2,-y+1/2,z'
loop_
_atom_site_label
_atom_site_fract_x
_atom_site_fract_y
_atom_site_fract_z
_atom_site_occupancy
Na1 0.0000 0.0000 0.0000 1
Na2 0.0000 0.3303 0.0000 1
Mg1 0.0000 0.1660 0.5000 1
Ti1 0.0000 0.5000 0.5000 1
Se1 0.2303 0.3409 0.7142 1
Se2 0.2454 0.5000 0.2861 1
```

***

Entry 5:
Density functional theory data (PBE) for crystalline Na3MgU2Se6 at its relaxed geometry.

Results
M_tot ... 10.00 Bohr magnetons per cell
ΔE_f (raw) ... -1.216 eV per atom
Final energy ... -127.2 eV for the cell shown

Structure (CIF):
```
data_Na3MgU2Se6
_space_group_name_H-M_alt 'C 1 2/m 1'
_space_group_IT_number 12
_cell_length_a 7.1024
_cell_length_b 12.3036
_cell_length_c 7.4127
_cell_angle_alpha 90.00
_cell_angle_beta 108.65
_cell_angle_gamma 90.00
loop_
_space_group_symop_operation_xyz
'x,y,z'
'-x,-y,-z'
'-x,y,-z'
'x,-y,z'
'x+1/2,y+1/2,z'
'-x+1/2,-y+1/2,-z'
'-x+1/2,y+1/2,-z'
'x+1/2,-y+1/2,z'
loop_
_atom_site_label
_atom_site_fract_x
_atom_site_fract_y
_atom_site_fract_z
_atom_site_occupancy
Na1 0.0000 0.0000 0.0000 1
Na2 0.0000 0.3334 0.0000 1
Mg1 0.0000 0.5000 0.5000 1
U1 0.0000 0.1667 0.5000 1
Se1 0.2397 0.3364 0.7281 1
Se2 0.2488 0.0000 0.7275 1
```

***

Entry 6:
Density functional theory data (PBE) for crystalline Na3MgU3Se8 at its relaxed geometry.

Results
M_tot ... 21.00 Bohr magnetons per cell
ΔE_f (raw) ... -1.192 eV per atom
Final energy ... -255.5 eV for the cell shown

Structure (CIF):
```
data_Na3MgU3Se8
_space_group_name_H-M_alt 'R -3 m'
_space_group_IT_number 166
_space_group_name_Hall '-R 3 2"'
_cell_length_a 8.1833
_cell_length_b 8.1833
_cell_length_c 21.2191
_cell_angle_alpha 90.00
_cell_angle_beta 90.00
_cell_angle_gamma 120.00
loop_
_atom_site_label
_atom_site_fract_x
_atom_site_fract_y
_atom_site_fract_z
_atom_site_occupancy
Na1 0.0000 0.5000 0.0000 1
Mg1 0.0000 0.0000 0.5000 1
U1 0.0000 0.5000 0.5000 1
Se1 0.0000 0.0000 0.2448 1
Se2 0.0037 0.5018 0.2407 1
```

***

Entry 7:
Density functional theory data (PBE) for crystalline Na2Mg2USe6 at its relaxed geometry.

Results
M_tot ... 0.00 Bohr magnetons per cell
ΔE_f (raw) ... -1.134 eV per atom
Final energy ... -101.0 eV for the cell shown

Structure (CIF):
```
data_Na2Mg2USe6
_space_group_name_H-M_alt 'C 1 2/m 1'
_space_group_IT_number 12
_cell_length_a 6.8362
_cell_length_b 11.7180
_cell_length_c 7.4798
_cell_angle_alpha 90.00
_cell_angle_beta 107.81
_cell_angle_gamma 90.00
loop_
_space_group_symop_operation_xyz
'x,y,z'
'-x,-y,-z'
'-x,y,-z'
'x,-y,z'
'x+1/2,y+1/2,z'
'-x+1/2,-y+1/2,-z'
'-x+1/2,y+1/2,-z'
'x+1/2,-y+1/2,z'
loop_
_atom_site_label
_atom_site_fract_x
_atom_site_fract_y
_atom_site_fract_z
_atom_site_occupancy
Na1 0.0000 0.1669 0.0000 1
Mg1 0.0000 0.3307 0.5000 1
U1 0.0000 0.0000 0.5000 1
Se1 0.2377 0.1634 0.7198 1
Se2 0.2436 0.5000 0.7148 1
```

***

Entry 8:
Density functional theory data (PBE) for crystalline Na2MgUSe4 at its relaxed geometry.

Results
M_tot ... 2.00 Bohr magnetons per cell
ΔE_f (raw) ... -1.215 eV per atom
Final energy ... -39.2 eV for the cell shown

Structure (CIF):
```
data_Na2MgUSe4
_space_group_name_H-M_alt 'P 1 2/m 1'
_space_group_IT_number 10
_cell_length_a 6.9866
_cell_length_b 4.1046
_cell_length_c 7.3775
_cell_angle_alpha 90.00
_cell_angle_beta 108.67
_cell_angle_gamma 90.00
loop_
_space_group_symop_operation_xyz
'x,y,z'
'-x,-y,-z'
'-x,y,-z'
'x,-y,z'
loop_
_atom_site_label
_atom_site_fract_x
_atom_site_fract_y
_atom_site_fract_z
_atom_site_occupancy
Na1 0.0000 0.0000 0.0000 1
Na2 0.5000 0.5000 0.0000 1
Mg1 0.0000 0.5000 0.5000 1
U1 0.5000 0.0000 0.5000 1
Se1 0.2362 0.0000 0.7185 1
Se2 0.2551 0.5000 0.2701 1
```

***

Entry 9:
Density functional theory data (PBE) for crystalline Na2MgZn2Se4 at its relaxed geometry.

Results
M_tot ... 0.00 Bohr magnetons per cell
ΔE_f (raw) ... -0.924 eV per atom
Final energy ... -58.1 eV for the cell shown

Structure (CIF):
```
data_Na2MgZn2Se4
_space_group_name_H-M_alt 'C 1 2/m 1'
_space_group_IT_number 12
_cell_length_a 15.4199
_cell_length_b 3.9359
_cell_length_c 7.6290
_cell_angle_alpha 90.00
_cell_angle_beta 114.71
_cell_angle_gamma 90.00
loop_
_space_group_symop_operation_xyz
'x,y,z'
'-x,-y,-z'
'-x,y,-z'
'x,-y,z'
'x+1/2,y+1/2,z'
'-x+1/2,-y+1/2,-z'
'-x+1/2,y+1/2,-z'
'x+1/2,-y+1/2,z'
loop_
_atom_site_label
_atom_site_fract_x
_atom_site_fract_y
_atom_site_fract_z
_atom_site_occupancy
Na1 0.1191 0.0000 0.0427 1
Mg1 0.0000 0.0000 0.5000 1
Zn1 0.1723 0.5000 0.4787 1
Se1 0.0056 0.5000 0.2581 1
Se2 0.2187 0.0000 0.7041 1
```

***

Entry 10:
Density functional theory data (PBE) for crystalline NaMgZn2Se at its relaxed geometry.

Results
M_tot ... 0.00 Bohr magnetons per cell
ΔE_f (raw) ... 0.348 eV per atom
Final energy ... -7.2 eV for the cell shown

Structure (CIF):
```
data_NaMgZn2Se
_space_group_name_H-M_alt 'P 4/m m m'
_space_group_IT_number 123
_space_group_name_Hall '-P 4 2'
_cell_length_a 5.0825
_cell_length_b 5.0825
_cell_length_c 5.2827
_cell_angle_alpha 90.00
_cell_angle_beta 90.00
_cell_angle_gamma 90.00
loop_
_atom_site_label
_atom_site_fract_x
_atom_site_fract_y
_atom_site_fract_z
_atom_site_occupancy
Na1 0.0000 0.0000 0.0000 1
Mg1 0.5000 0.5000 0.5000 1
Zn1 0.0000 0.5000 0.0000 1
Se1 0.0000 0.0000 0.5000 1
```

***

Entry 11:
Density functional theory data (PBE) for crystalline NaMgZrSe2 at its relaxed geometry.

Results
M_tot ... 0.00 Bohr magnetons per cell
ΔE_f (raw) ... -0.448 eV per atom
Final energy ... -20.7 eV for the cell shown

Structure (CIF):
```
data_NaMgZrSe2
_space_group_name_H-M_alt 'P 4/m m m'
_space_group_IT_number 123
_space_group_name_Hall '-P 4 2'
_cell_length_a 5.2782
_cell_length_b 5.2782
_cell_length_c 5.6029
_cell_angle_alpha 90.00
_cell_angle_beta 90.00
_cell_angle_gamma 90.00
loop_
_atom_site_label
_atom_site_fract_x
_atom_site_fract_y
_atom_site_fract_z
_atom_site_occupancy
Na1 0.0000 0.0000 0.0000 1
Mg1 0.5000 0.5000 0.0000 1
Zr1 0.5000 0.5000 0.5000 1
Se1 0.0000 0.5000 0.5000 1
```

***

Entry 12:
Density functional theory data (PBE) for crystalline Na3Mg2ZrSe6 at its relaxed geometry.

Results
M_tot ... 0.00 Bohr magnetons per cell
ΔE_f (raw) ... -1.165 eV per atom
Final energy ... -101.2 eV for the cell shown

Structure (CIF):
```
data_Na3Mg2ZrSe6
_space_group_name_H-M_alt 'C 1 2/m 1'
_space_group_IT_number 12
_cell_length_a 6.7836
_cell_length_b 11.7557
_cell_length_c 7.4264
_cell_angle_alpha 90.00
_cell_angle_beta 107.76
_cell_angle_gamma 90.00
loop_
_space_group_symop_operation_xyz
'x,y,z'
'-x,-y,-z'
'-x,y,-z'
'x,-y,z'
'x+1/2,y+1/2,z'
'-x+1/2,-y+1/2,-z'
'-x+1/2,y+1/2,-z'
'x+1/2,-y+1/2,z'
loop_
_atom_site_label
_atom_site_fract_x
_atom_site_fract_y
_atom_site_fract_z
_atom_site_occupancy
Na1 0.0000 0.0000 0.0000 1
Na2 0.0000 0.3330 0.0000 1
Mg1 0.0000 0.1665 0.5000 1
Zr1 0.0000 0.5000 0.5000 1
Se1 0.2377 0.3354 0.7196 1
Se2 0.2440 0.0000 0.7191 1
```

***

Question: Number 5 is which compound?
Answer: Na3MgU2Se6